[1]
Here is crystalline K2TlGaTe4 at its relaxed geometry from Alexandria via LeMat-Bulk. Energies are from PBE.

a b c (Å): 8.7494 8.7494 7.3513
angles (deg): 90.00 90.00 90.00
Closest atoms and distances in Å follow each position.
Space group I-42m (No. 121)
Symmetry-distinct sites (fractional):
K: 0.0000 0.5000 0.0000 [4 per cell]  8 Te 3.64-3.82, 2 K 3.68
Tl: 0.0000 0.0000 0.0000 [2 per cell]  4 Te 2.92
Ga: 0.0000 0.0000 0.5000 [2 per cell]  4 Te 2.70
Te: 0.1715 0.1715 0.2737 [8 per cell]  1 Ga 2.70, 1 Tl 2.92

Computed properties:
- raw total energy (eV/atom) = -3.125
- raw formation energy (eV per atom) = -0.61


[2]
Here is crystalline KTmGaTe3 at its relaxed geometry from Alexandria via LeMat-Bulk. Energies are from PBE.

a b c (Å): 9.5397 4.4706 10.7372
angles (deg): 90.00 105.37 90.00
Closest atoms and distances in Å follow each position.
Space group P2_1/m (No. 11)
Symmetry-distinct sites (fractional):
K: 0.1950 0.2500 0.2360 [2 per cell]  5 Te 3.55-3.73
Tm: 0.3424 0.7500 0.8696 [2 per cell]  6 Te 3.02-3.21
Ga: 0.0742 0.2500 0.6152 [2 per cell]  4 Te 2.73-2.97
Te: 0.1208 0.2500 0.8774 [2 per cell]  1 Ga 2.73
Te: 0.2244 0.7500 0.5607 [2 per cell]  3 Ga 2.80-2.97
Te: 0.4494 0.7500 0.1604 [2 per cell]  3 Tm 3.02-3.06

Computed properties:
- raw total energy (eV/atom) = -3.932
- N(E_F) (states/eV per cell) = 2.893
- raw formation energy (eV per atom) = -0.93


[3]
Here is crystalline K2UGaTe4 at its relaxed geometry from Alexandria via LeMat-Bulk. Energies are from PBE.

a b c (Å): 8.6464 8.6464 7.5326
angles (deg): 90.00 90.00 90.00
Closest atoms and distances in Å follow each position.
Space group I-42m (No. 121)
Symmetry-distinct sites (fractional):
K: 0.0000 0.5000 0.0000 [4 per cell]  8 Te 3.56-3.85, 2 K 3.77
U: 0.0000 0.0000 0.0000 [2 per cell]  4 Te 3.07
Ga: 0.0000 0.0000 0.5000 [2 per cell]  4 Te 2.71
Te: 0.1782 0.1782 0.7128 [8 per cell]  1 Ga 2.71

Computed properties:
- raw total energy (eV/atom) = -4.282
- N(E_F) (states/eV per cell) = 5.148
- raw formation energy (eV per atom) = -0.65


[4]
Here is crystalline KYGaTe3 at its relaxed geometry from Alexandria via LeMat-Bulk. Energies are from PBE.

a b c (Å): 9.5757 4.5252 10.7398
angles (deg): 90.00 105.24 90.00
Closest atoms and distances in Å follow each position.
Space group P2_1/m (No. 11)
Symmetry-distinct sites (fractional):
K: 0.1949 0.2500 0.2335 [2 per cell]  5 Te 3.54-3.74
Y: 0.3423 0.7500 0.8683 [2 per cell]  6 Te 3.05-3.24
Ga: 0.0765 0.2500 0.6121 [2 per cell]  4 Te 2.73-2.95
Te: 0.1174 0.2500 0.8731 [2 per cell]  1 Ga 2.73
Te: 0.2221 0.7500 0.5564 [2 per cell]  3 Ga 2.80-2.95
Te: 0.4482 0.7500 0.1626 [2 per cell]  3 Y 3.05-3.10

Computed properties:
- raw total energy (eV/atom) = -4.292
- N(E_F) (states/eV per cell) = 3.026
- raw formation energy (eV per atom) = -0.96


Question: raw total energy of number 2 (KTmGaTe3)?
Answer: -3.932 eV/atom


Question: Which value of raw formation energy does entry 1 give?
Answer: -0.61 eV per atom


Question: Which value of raw formation energy does entry 4 give?
Answer: -0.96 eV per atom